(1)
Computed, not measured: an optimized crystal structure of NbCdFePb at the PBE level of DFT.

## Properties
The total magnetic moment is 1.0 μB per formula unit. Its relative energy among the computed polymorphs is 14 meV per atom.

Unit cell a=6.7304 b=6.7304 c=6.7304 alpha=90.00 beta=90.00 gamma=90.00
Space group F-43m (No. 216)
Symmetry-distinct sites (fractional):
Nb  0.0000  0.0000  0.0000 [4 per cell]
Cd  0.2500  0.2500  0.2500 [4 per cell]
Fe  0.2500  0.2500  0.7500 [4 per cell]
Pb  0.0000  0.0000  0.5000 [4 per cell]

---

(2)
Computed, not measured: an optimized crystal structure of Ta4Nb2Co3C3 at the PBE level of DFT.

## Properties
The calculation puts the final energy at -10.001 eV/atom. The total magnetic moment is 0.1 μB per formula unit.

Unit cell a=9.2422 b=5.3217 c=13.3843 alpha=90.00 beta=103.60 gamma=90.00
Space group C2/c (No. 15)
Symmetry-distinct sites (fractional):
Ta  0.1142  0.0870  0.0933 [8 per cell]
Ta  0.2205  0.0833  0.4066 [8 per cell]
Nb  0.0446  0.4165  0.8872 [8 per cell]
Co  0.0000  0.0531  0.2500 [4 per cell]
Co  0.2333  0.3511  0.2500 [8 per cell]
C  0.0815  0.2554  0.4999 [8 per cell]
C  0.2500  0.2500  0.0000 [4 per cell]

---

(3)
Computed, not measured: an optimized crystal structure of Zr4GaSbN2 at the PBE level of DFT.

## Properties
The calculation puts the final energy at -8.345 eV/atom. The total magnetic moment is 0.0 μB per formula unit.

Unit cell a=3.3395 b=3.3395 c=13.9419 alpha=90.00 beta=90.00 gamma=120.00
Space group P-6m2 (No. 187)
Symmetry-distinct sites (fractional):
Zr  0.0000  0.0000  0.1580 [2 per cell]
Zr  0.6667  0.3333  0.3365 [2 per cell]
Ga  0.6667  0.3333  0.0000 [1 per cell]
Sb  0.0000  0.0000  0.5000 [1 per cell]
N  0.3333  0.6667  0.2453 [2 per cell]

---

(4)
Computed, not measured: an optimized crystal structure of Al5Au13 at the PBE level of DFT.

## Properties
The calculation puts the final energy at -3.644 eV/atom.

Unit cell a=25.7086 b=4.3187 c=5.7168 alpha=90.00 beta=102.72 gamma=90.00
Space group C2/m (No. 12)
Symmetry-distinct sites (fractional):
Al  0.0000  0.0000  0.0000 [2 per cell]
Al  0.1071  0.0000  0.5728 [4 per cell]
Al  0.1763  0.5000  0.0413 [4 per cell]
Au  0.0000  0.0000  0.5000 [2 per cell]
Au  0.0410  0.5000  0.2361 [4 per cell]
Au  0.0756  0.5000  0.7684 [4 per cell]
Au  0.1093  0.0000  0.1037 [4 per cell]
Au  0.1597  0.5000  0.4933 [4 per cell]
Au  0.2114  0.0000  0.8350 [4 per cell]
Au  0.2225  0.0000  0.3368 [4 per cell]

---

(5)
Computed, not measured: an optimized crystal structure of ZnCu2Ge at the PBE level of DFT.

## Properties
The calculation puts the final energy at -3.186 eV/atom.

Unit cell a=6.0850 b=6.0850 c=6.0850 alpha=90.00 beta=90.00 gamma=90.00
Space group F-43m (No. 216)
Symmetry-distinct sites (fractional):
Zn  0.0000  0.0000  0.0000 [4 per cell]
Cu  0.0000  0.0000  0.5000 [4 per cell]
Cu  0.2500  0.2500  0.2500 [4 per cell]
Ge  0.2500  0.2500  0.7500 [4 per cell]

---

(6)
Computed, not measured: an optimized crystal structure of MgAgTeO at the PBE level of DFT.

## Properties
Its relative energy among the computed polymorphs is 266 meV per atom.

Unit cell a=3.6121 b=14.1046 c=6.2954 alpha=90.00 beta=90.00 gamma=90.00
Space group Cmc2_1 (No. 36)
Symmetry-distinct sites (fractional):
Mg  0.0000  0.0356  0.0000 [4 per cell]
Ag  0.0000  0.3333  0.8287 [4 per cell]
Te  0.0000  0.3239  0.2961 [4 per cell]
O  0.0000  0.0614  0.2935 [4 per cell]

---

(7)
Computed, not measured: an optimized crystal structure of BeCdGaCu at the PBE level of DFT.

## Properties
Its relative energy among the computed polymorphs is 57 meV per atom.

Unit cell a=6.2036 b=6.2036 c=6.2036 alpha=90.00 beta=90.00 gamma=90.00
Space group F-43m (No. 216)
Symmetry-distinct sites (fractional):
Be  0.0000  0.0000  0.0000 [4 per cell]
Cd  0.2500  0.2500  0.2500 [4 per cell]
Ga  0.0000  0.0000  0.5000 [4 per cell]
Cu  0.2500  0.2500  0.7500 [4 per cell]

---

(8)
Computed, not measured: an optimized crystal structure of Cu2BrCl3 at the PBE level of DFT.

## Properties
The calculation puts the final energy at -2.864 eV/atom.

Unit cell a=6.7523 b=3.3406 c=7.0839 alpha=90.00 beta=116.39 gamma=90.00
Space group Pm (No. 6)
Symmetry-distinct sites (fractional):
Cu  0.0000  0.0000  0.0000 [1 per cell]
Cu  0.4909  0.5000  0.5001 [1 per cell]
Br  0.7488  0.5000  0.0101 [1 per cell]
Cl  0.2251  0.5000  0.9925 [1 per cell]
Cl  0.2603  0.0000  0.5018 [1 per cell]
Cl  0.7198  0.0000  0.4948 [1 per cell]

---

| no. | mass density (kg/m3) |
| --- | --- |
| 1 | 10204 |
| 2 | 11652 |
| 3 | 7207 |
| 4 | 14459 |
| 5 | 7817 |
| 6 | 5711 |
| 7 | 7086 |
| 8 | 3635 |